Entry 1:
DFT (PBE) results for a geometry-optimized EuAsPd2 structure.

The structure in POSCAR format:
```
EuAsPd2
1.0
4.422 0.000 0.000
2.211 3.829 0.000
2.211 1.276 5.007
Eu As Pd
1 1 2
Cartesian
0.000 0.000 0.000
4.422 2.553 2.504
6.633 3.829 3.077
2.211 1.276 1.930
```

**Density of states at the Fermi level**: 3.430 states/eV/atom
**Formation energy**: -0.680 eV per atom
**V**: 21.20 A^3/atom
**Calculated density**: 8.6 g/cm³
**Total DFT energy (no corrections)**: -7.0070 eV per atom



Entry 2:
DFT (PBE) results for a geometry-optimized GeB2S structure.

The structure in POSCAR format:
```
GeB2S
1.0
-3.369 -0.852 2.053
-3.328 -1.151 -1.972
-1.288 -3.815 0.270
Ge B S
1 2 1
Cartesian
-3.992 -2.909 0.176
-1.996 -1.454 0.088
-5.989 -4.363 0.264
0.000 0.000 0.000
```

**Density of states at the Fermi level**: 0.524 states/eV/atom
**Formation energy without anion corrections**: 1.66 eV per atom
**Energy above the lowest structure with this stoichiometry**: 1521 meV/atom
**V**: 11.62 A^3/atom
**Calculated density**: 4.5 g/cm³
**Total DFT energy (no corrections)**: -3.8664 eV per atom



Entry 3:
DFT (PBE) results for a geometry-optimized Ac2PmP3Rh12 structure.

The structure in POSCAR format:
```
Ac2PmP3Rh12
1.0
7.212 -0.756 -0.536
2.904 6.644 -0.536
2.904 1.691 6.448
Ac Pm P Rh
2 1 3 12
Cartesian
7.883 4.589 3.255
5.138 2.990 2.121
0.000 0.000 0.000
3.606 -0.378 -0.268
1.452 3.322 -0.268
1.452 0.845 3.224
5.923 3.448 5.519
9.733 5.666 1.557
7.713 6.813 4.832
8.445 2.015 1.429
9.733 3.342 4.832
5.923 6.349 1.429
7.097 4.131 -0.143
3.287 1.913 3.819
5.307 0.766 0.543
4.575 5.564 3.946
3.287 4.237 0.543
7.097 1.230 3.946
```

**Density of states at the Fermi level**: 0.782 states/eV/atom
**Formation energy**: -0.286 eV per atom
**V**: 18.81 A^3/atom
**Calculated density**: 9.5 g/cm³
**Total DFT energy (no corrections)**: -6.8090 eV per atom



Entry 4:
DFT (PBE) results for a geometry-optimized Tl2Hg2H structure.

The structure in POSCAR format:
```
Tl2Hg2H
1.0
3.306 0.000 -0.598
-0.463 11.768 -2.558
-0.354 -3.084 7.477
Tl Hg H
4 4 2
Cartesian
2.045 9.185 1.868
0.444 -0.501 2.453
1.816 5.290 0.601
0.673 3.394 3.720
2.408 6.770 3.872
0.081 1.914 0.449
1.523 8.121 -1.019
0.967 0.563 5.340
2.073 3.264 2.020
0.417 5.420 2.301
```

**Density of states at the Fermi level**: 0.184 states/eV/atom
**Energy above the lowest structure with this stoichiometry**: 0 meV/atom
**V**: 26.15 A^3/atom
**Calculated density**: 10.3 g/cm³
**Total DFT energy (no corrections)**: -1.5742 eV per atom



Entry 5:
DFT (PBE) results for a geometry-optimized Mo5W4 structure.

The structure in POSCAR format:
```
Mo5W4
1.0
3.177 0.006 0.005
1.594 6.714 -0.440
1.594 0.448 6.714
Mo W
5 4
Cartesian
1.594 0.448 6.713
1.594 2.536 4.330
1.594 4.626 1.944
3.184 2.687 6.568
3.181 0.303 4.480
3.184 4.777 4.183
3.184 6.865 1.799
3.181 4.480 -0.290
3.181 2.392 2.094
```

**Density of states at the Fermi level**: 0.414 states/eV/atom
**Formation energy**: -0.019 eV per atom
**Energy above the lowest structure with this stoichiometry**: 0 meV/atom
**V**: 15.97 A^3/atom
**Calculated density**: 14.0 g/cm³
**Total DFT energy (no corrections)**: -11.7935 eV per atom



Entry 6:
DFT (PBE) results for a geometry-optimized Ca2ZnOs structure.

The structure in POSCAR format:
```
Ca2ZnOs
1.0
-1.969 5.250 1.590
-4.316 2.770 2.770
1.086 1.165 4.608
Zn Os Ca
1 1 2
Cartesian
-4.204 7.185 6.743
-2.347 4.340 4.455
0.955 1.278 4.586
-1.118 2.139 2.274
```

**Density of states at the Fermi level**: 0.441 states/eV/atom
**Formation energy**: 0.183 eV per atom
**V**: 22.16 A^3/atom
**Calculated density**: 6.3 g/cm³
**Total DFT energy (no corrections)**: -3.9432 eV per atom